(1)
First-principles (GGA-PBE) data for an optimized crystal structure of Sc5Tl2Hg2Au, as listed in Alexandria.

Values from the calculation:
energy of formation	-0.2611	eV/atom

CIF file:
```
data_Sc5Tl2Hg2Au
_chemical_formula_sum 'Sc10 Tl4 Hg4 Au2'
_cell_length_a 11.947
_cell_length_b 11.947
_cell_length_c 3.324
_cell_angle_alpha 90.00
_cell_angle_beta 90.00
_cell_angle_gamma 90.00
_symmetry_space_group_name_H-M 'P 4/m b m'
_symmetry_Int_Tables_number 127
_symmetry_space_group_name_Hall '-P 4 2ab'
loop_
_atom_site_label
_atom_site_type_symbol
_atom_site_fract_x
_atom_site_fract_y
_atom_site_fract_z
Sc1 Sc 0.000 0.500 0.000
Sc2 Sc 0.019 0.196 0.000
Tl1 Tl 0.176 0.676 0.500
Hg1 Hg 0.142 0.358 0.500
Au1 Au 0.000 0.000 0.500
```

---

(2)
First-principles (GGA-PBE) data for an optimized crystal structure of YScHgAu, as listed in Alexandria.

Values from the calculation:
energy of formation	-0.6435	eV/atom

CIF file:
```
data_YScHgAu
_chemical_formula_sum 'Y1 Sc1 Hg1 Au1'
_cell_length_a 3.572
_cell_length_b 3.572
_cell_length_c 7.103
_cell_angle_alpha 90.00
_cell_angle_beta 90.00
_cell_angle_gamma 90.00
_symmetry_space_group_name_H-M 'P 4 m m'
_symmetry_Int_Tables_number 99
loop_
_symmetry_equiv_pos_as_xyz
'x,y,z'
'-y,x,z'
'-x,-y,z'
'y,-x,z'
'-x,y,z'
'y,x,z'
'x,-y,z'
'-y,-x,z'
loop_
_atom_site_label
_atom_site_type_symbol
_atom_site_fract_x
_atom_site_fract_y
_atom_site_fract_z
Y1 Y 0.000 0.000 0.000
Sc1 Sc 0.000 0.000 0.522
Hg1 Hg 0.500 0.500 0.282
Au1 Au 0.500 0.500 0.736
```

---

(3)
First-principles (GGA-PBE) data for an optimized crystal structure of Sc4ZnHgAu2, as listed in Alexandria.

Values from the calculation:
energy of formation	-0.5968	eV/atom

CIF file:
```
data_Sc4ZnHgAu2
_chemical_formula_sum 'Sc12 Zn3 Hg3 Au6'
_cell_length_a 4.8286
_cell_length_b 4.8286
_cell_length_c 23.8463
_cell_angle_alpha 90.00
_cell_angle_beta 90.00
_cell_angle_gamma 120.00
_symmetry_space_group_name_H-M 'R -3 m'
_symmetry_Int_Tables_number 166
_symmetry_space_group_name_Hall '-R 3 2"'
loop_
_atom_site_label
_atom_site_type_symbol
_atom_site_fract_x
_atom_site_fract_y
_atom_site_fract_z
Sc1 Sc 0.0000 0.0000 0.1223
Sc2 Sc 0.0000 0.0000 0.3733
Zn1 Zn 0.0000 0.0000 0.0000
Hg1 Hg 0.0000 0.0000 0.5000
Au1 Au 0.0000 0.0000 0.2540
```

---

(4)
First-principles (GGA-PBE) data for an optimized crystal structure of Hg2AuSe, as listed in Alexandria.

Values from the calculation:
E_form (uncorrected)	0.60	eV/f.u.

CIF file:
```
data_Hg2AuSe
_chemical_formula_sum 'Hg4 Au2 Se2'
_cell_length_a 4.172
_cell_length_b 6.948
_cell_length_c 7.332
_cell_angle_alpha 90.00
_cell_angle_beta 90.00
_cell_angle_gamma 90.00
_symmetry_space_group_name_H-M 'I m m m'
_symmetry_Int_Tables_number 71
_symmetry_space_group_name_Hall '-I 2 2'
loop_
_atom_site_label
_atom_site_type_symbol
_atom_site_fract_x
_atom_site_fract_y
_atom_site_fract_z
Hg1 Hg 0.000 0.000 0.246
Au1 Au 0.000 0.500 0.500
Se1 Se 0.000 0.500 0.000
```

---

(5)
First-principles (GGA-PBE) data for an optimized crystal structure of Hg2AuSe, as listed in Alexandria.

Values from the calculation:
E_form (uncorrected)	0.67	eV/f.u.

CIF file:
```
data_Hg2AuSe
_chemical_formula_sum 'Hg4 Au2 Se2'
_cell_length_a 3.965
_cell_length_b 7.328
_cell_length_c 7.693
_cell_angle_alpha 90.00
_cell_angle_beta 90.00
_cell_angle_gamma 90.00
_symmetry_space_group_name_H-M 'C m m m'
_symmetry_Int_Tables_number 65
_symmetry_space_group_name_Hall '-C 2 2'
loop_
_atom_site_label
_atom_site_type_symbol
_atom_site_fract_x
_atom_site_fract_y
_atom_site_fract_z
Hg1 Hg 0.000 0.000 0.247
Au1 Au 0.000 0.500 0.500
Se1 Se 0.000 0.500 0.000
```

---

(6)
First-principles (GGA-PBE) data for an optimized crystal structure of Hg2AuSe, as listed in Alexandria.

Values from the calculation:
E_form (uncorrected)	1.00	eV/f.u.

CIF file:
```
data_Hg2AuSe
_chemical_formula_sum 'Hg4 Au2 Se2'
_cell_length_a 4.626
_cell_length_b 4.626
_cell_length_c 8.231
_cell_angle_alpha 90.00
_cell_angle_beta 90.00
_cell_angle_gamma 90.00
_symmetry_space_group_name_H-M 'I -4 m 2'
_symmetry_Int_Tables_number 119
_symmetry_space_group_name_Hall 'I -4 -2'
loop_
_atom_site_label
_atom_site_type_symbol
_atom_site_fract_x
_atom_site_fract_y
_atom_site_fract_z
Hg1 Hg 0.000 0.000 0.000
Hg2 Hg 0.000 0.500 0.250
Au1 Au 0.000 0.000 0.500
Se1 Se 0.000 0.500 0.750
```

---

(7)
First-principles (GGA-PBE) data for an optimized crystal structure of Hg2AuSe, as listed in Alexandria.

Values from the calculation:
E_form (uncorrected)	1.05	eV/f.u.

CIF file:
```
data_Hg2AuSe
_chemical_formula_sum 'Hg4 Au2 Se2'
_cell_length_a 4.525
_cell_length_b 4.525
_cell_length_c 8.563
_cell_angle_alpha 90.00
_cell_angle_beta 90.00
_cell_angle_gamma 90.00
_symmetry_space_group_name_H-M 'I 4/m m m'
_symmetry_Int_Tables_number 139
_symmetry_space_group_name_Hall '-I 4 2'
loop_
_atom_site_label
_atom_site_type_symbol
_atom_site_fract_x
_atom_site_fract_y
_atom_site_fract_z
Hg1 Hg 0.000 0.500 0.250
Au1 Au 0.000 0.000 0.000
Se1 Se 0.000 0.000 0.500
```

---

(8)
First-principles (GGA-PBE) data for an optimized crystal structure of HgAu3Se, as listed in Alexandria.

Values from the calculation:
E_form (uncorrected)	1.84	eV/f.u.
E above lowest polymorph	0.000	eV per atom

CIF file:
```
data_HgAu3Se
_chemical_formula_sum 'Hg1 Au3 Se1'
_cell_length_a 5.099
_cell_length_b 5.099
_cell_length_c 5.099
_cell_angle_alpha 90.00
_cell_angle_beta 90.00
_cell_angle_gamma 90.00
_symmetry_space_group_name_H-M 'P m -3 m'
_symmetry_Int_Tables_number 221
_symmetry_space_group_name_Hall '-P 4 2 3'
loop_
_atom_site_label
_atom_site_type_symbol
_atom_site_fract_x
_atom_site_fract_y
_atom_site_fract_z
Hg1 Hg 0.000 0.000 0.000
Au1 Au 0.000 0.500 0.500
Se1 Se 0.500 0.500 0.500
```

---

(9)
First-principles (GGA-PBE) data for an optimized crystal structure of Hg12Au3Se5, as listed in Alexandria.

Values from the calculation:
E_form (uncorrected)	-0.59	eV/f.u.

CIF file:
```
data_Hg12Au3Se5
_chemical_formula_sum 'Hg96 Au24 Se40'
_cell_length_a 16.417
_cell_length_b 16.417
_cell_length_c 16.417
_cell_angle_alpha 90.00
_cell_angle_beta 90.00
_cell_angle_gamma 90.00
_symmetry_space_group_name_H-M 'I a -3 d'
_symmetry_Int_Tables_number 230
_symmetry_space_group_name_Hall '-I 4bd 2c 3'
loop_
_atom_site_label
_atom_site_type_symbol
_atom_site_fract_x
_atom_site_fract_y
_atom_site_fract_z
Hg1 Hg 0.024 0.087 0.653
Au1 Au 0.000 0.250 0.125
Se1 Se 0.000 0.000 0.000
Se2 Se 0.000 0.250 0.375
```

---

(10)
First-principles (GGA-PBE) data for an optimized crystal structure of HgAu2Se, as listed in Alexandria.

Values from the calculation:
E_form (uncorrected)	0.87	eV/f.u.

CIF file:
```
data_HgAu2Se
_chemical_formula_sum 'Hg2 Au4 Se2'
_cell_length_a 4.288
_cell_length_b 4.288
_cell_length_c 8.679
_cell_angle_alpha 90.00
_cell_angle_beta 90.00
_cell_angle_gamma 90.00
_symmetry_space_group_name_H-M 'I 4/m m m'
_symmetry_Int_Tables_number 139
_symmetry_space_group_name_Hall '-I 4 2'
loop_
_atom_site_label
_atom_site_type_symbol
_atom_site_fract_x
_atom_site_fract_y
_atom_site_fract_z
Hg1 Hg 0.000 0.000 0.000
Au1 Au 0.000 0.500 0.250
Se1 Se 0.000 0.000 0.500
```

---

(11)
First-principles (GGA-PBE) data for an optimized crystal structure of Hg2AuSe, as listed in Alexandria.

Values from the calculation:
E_form (uncorrected)	0.49	eV/f.u.

CIF file:
```
data_Hg2AuSe
_chemical_formula_sum 'Hg4 Au2 Se2'
_cell_length_a 8.201
_cell_length_b 8.092
_cell_length_c 2.935
_cell_angle_alpha 90.00
_cell_angle_beta 93.13
_cell_angle_gamma 90.00
_symmetry_space_group_name_H-M 'C 1 2/m 1'
_symmetry_Int_Tables_number 12
loop_
_symmetry_equiv_pos_as_xyz
'x,y,z'
'-x,-y,-z'
'-x,y,-z'
'x,-y,z'
'x+1/2,y+1/2,z'
'-x+1/2,-y+1/2,-z'
'-x+1/2,y+1/2,-z'
'x+1/2,-y+1/2,z'
loop_
_atom_site_label
_atom_site_type_symbol
_atom_site_fract_x
_atom_site_fract_y
_atom_site_fract_z
Hg1 Hg 0.250 0.250 0.000
Au1 Au 0.000 0.000 0.000
Se1 Se 0.000 0.500 0.000
```

---

(12)
First-principles (GGA-PBE) data for an optimized crystal structure of HgAu2Se, as listed in Alexandria.

Values from the calculation:
E_form (uncorrected)	0.83	eV/f.u.

CIF file:
```
data_HgAu2Se
_chemical_formula_sum 'Hg1 Au2 Se1'
_cell_length_a 2.883
_cell_length_b 2.883
_cell_length_c 10.333
_cell_angle_alpha 90.00
_cell_angle_beta 90.00
_cell_angle_gamma 90.00
_symmetry_space_group_name_H-M 'P 4 m m'
_symmetry_Int_Tables_number 99
loop_
_symmetry_equiv_pos_as_xyz
'x,y,z'
'-y,x,z'
'-x,-y,z'
'y,-x,z'
'-x,y,z'
'y,x,z'
'x,-y,z'
'-y,-x,z'
loop_
_atom_site_label
_atom_site_type_symbol
_atom_site_fract_x
_atom_site_fract_y
_atom_site_fract_z
Hg1 Hg 0.000 0.000 0.000
Au1 Au 0.000 0.000 0.540
Au2 Au 0.500 0.500 0.750
Se1 Se 0.500 0.500 0.316
```

---

Sequential energy output: -4.288, -4.737, -4.779, -1.690, -1.674, -1.591, -1.579, -2.356, -1.573, -2.367, -1.719, -2.379 eV per atom